# 1
This record from Alexandria describes IrPtIO2 after structural relaxation. The functional is PBE-GGA.

Values from the calculation:
Fermi-level density of states = 6.23 states/eV/f.u.
formation energy from raw total energies = 0.536 eV/atom
space-group type = No. 123
raw total energy = -23.69 eV for the cell shown

Unit cell a=3.7633 b=3.7633 c=8.7097 alpha=90.00 beta=90.00 gamma=90.00
Site moments in Bohr magnetons follow the coordinates.
Fractional coordinates of all 5 atoms:
1 Ir 0.5000 0.5000 0.5000  0.01
2 Pt 0.0000 0.0000 0.0000  0.30
3 O 0.5000 0.0000 0.0000  0.18
4 I 0.0000 0.0000 0.5000  0.00
5 O 0.0000 0.5000 0.0000  0.18


# 2
This record from Alexandria describes IrPtI2O after structural relaxation. The functional is PBE-GGA.

Values from the calculation:
Fermi-level density of states = 5.18 states/eV/f.u.
formation energy from raw total energies = 0.418 eV/atom
space-group type = No. 123
raw total energy = -20.87 eV for the cell shown

Unit cell a=5.5190 b=5.5190 c=3.6911 alpha=90.00 beta=90.00 gamma=90.00
Fractional coordinates of all 5 atoms:
1 Pt 0.5000 0.5000 0.5000
2 I 0.5000 0.0000 0.0000
3 Ir 0.0000 0.0000 0.0000
4 O 0.0000 0.0000 0.5000
5 I 0.0000 0.5000 0.0000


# 3
This record from Alexandria describes IrPtI2O after structural relaxation. The functional is PBE-GGA.

Values from the calculation:
Fermi-level density of states = 6.55 states/eV/f.u.
formation energy from raw total energies = 0.845 eV/atom
space-group type = No. 123
raw total energy = -18.73 eV for the cell shown

Unit cell a=5.5096 b=5.5096 c=3.7193 alpha=90.00 beta=90.00 gamma=90.00
Site moments in Bohr magnetons follow the coordinates.
Fractional coordinates of all 5 atoms:
1 I 0.0000 0.5000 0.0000  0.00
2 O 0.0000 0.0000 0.5000  0.17
3 I 0.5000 0.0000 0.0000  0.00
4 Pt 0.0000 0.0000 0.0000  0.17
5 Ir 0.5000 0.5000 0.5000  0.00


# 4
This record from Alexandria describes RbIrI2O after structural relaxation. The functional is PBE-GGA.

Values from the calculation:
Fermi-level density of states = 3.54 states/eV/f.u.
formation energy from raw total energies = -0.545 eV/atom
space-group type = No. 123
raw total energy = -20.61 eV for the cell shown

Unit cell a=5.9655 b=5.9655 c=3.8154 alpha=90.00 beta=90.00 gamma=90.00
Fractional coordinates of all 5 atoms:
1 O 0.0000 0.0000 0.5000
2 Rb 0.5000 0.5000 0.5000
3 I 0.0000 0.5000 0.0000
4 Ir 0.0000 0.0000 0.0000
5 I 0.5000 0.0000 0.0000


# 5
This record from Alexandria describes Rb2IrI6O after structural relaxation. The functional is PBE-GGA.

Values from the calculation:
Fermi-level density of states = 7.47 states/eV/f.u.
formation energy from raw total energies = -0.470 eV/atom
space-group type = No. 139
raw total energy = -29.75 eV for the cell shown

Unit cell a=8.8121 b=8.8121 c=7.9176 alpha=56.19 beta=56.19 gamma=90.00
Site moments in Bohr magnetons follow the coordinates.
Fractional coordinates of all 10 atoms:
1 O 0.5000 0.5000 0.0000  0.39
2 I 0.7832 0.2168 0.0000  0.02
3 I 0.2808 0.2808 0.4384  0.21
4 I 0.2168 0.7832 0.0000  0.02
5 I 0.2168 0.2168 0.0000  0.02
6 I 0.7832 0.7832 0.0000  0.02
7 I 0.7192 0.7192 0.5616  0.21
8 Rb 0.2500 0.7500 0.5000  0.00
9 Rb 0.7500 0.2500 0.5000  0.00
10 Ir 0.0000 0.0000 0.0000  0.45


# 6
This record from Alexandria describes RbIrI2O after structural relaxation. The functional is PBE-GGA.

Values from the calculation:
Fermi-level density of states = 8.16 states/eV/f.u.
formation energy from raw total energies = 1.410 eV/atom
space-group type = No. 123
raw total energy = -10.84 eV for the cell shown

Unit cell a=6.4766 b=6.4766 c=4.1401 alpha=90.00 beta=90.00 gamma=90.00
Site moments in Bohr magnetons follow the coordinates.
Fractional coordinates of all 5 atoms:
1 I 0.0000 0.5000 0.0000  0.14
2 Ir 0.5000 0.5000 0.5000  2.12
3 O 0.0000 0.0000 0.5000  0.07
4 Rb 0.0000 0.0000 0.0000  0.00
5 I 0.5000 0.0000 0.0000  0.14